[1]
The following is a PBE-GGA calculation of a relaxed structure of Pm3Pr2TmBi6, from Alexandria via LeMat-Bulk.

Unit cell a=19.943 b=4.580 c=9.151 alpha=90.00 beta=103.29 gamma=90.00
Space group C2/m (No. 12)
Inequivalent atoms, fractional coordinates:
Pm  0.000  0.000  0.000
Pm  0.169  0.500  0.334
Pr  0.165  0.500  0.832
Tm  0.000  0.000  0.500
Bi  0.002  0.500  0.258
Bi  0.163  0.000  0.579
Bi  0.166  0.000  0.085


[2]
The following is a PBE-GGA calculation of a relaxed structure of PmPr2TmBi4, from Alexandria via LeMat-Bulk.

Unit cell a=7.921 b=4.579 c=7.926 alpha=90.00 beta=109.50 gamma=90.00
Space group P2/m (No. 10)
Inequivalent atoms, fractional coordinates:
Pm  0.000  0.000  0.000
Pr  0.500  0.000  0.500
Pr  0.500  0.500  0.000
Tm  0.000  0.500  0.500
Bi  0.239  0.000  0.742
Bi  0.243  0.500  0.252


[3]
The following is a PBE-GGA calculation of a relaxed structure of Pm2PrYBi5, from Alexandria via LeMat-Bulk.

Unit cell a=5.600 b=5.600 c=11.974 alpha=90.00 beta=90.00 gamma=90.00
Space group P4/mmm (No. 123)
Inequivalent atoms, fractional coordinates:
Pm  0.000  0.000  0.227
Pr  0.500  0.500  0.000
Y  0.500  0.500  0.500
Bi  0.000  0.000  0.500
Bi  0.000  0.500  0.000
Bi  0.500  0.500  0.258


[4]
The following is a PBE-GGA calculation of a relaxed structure of Pm2PrY3Bi6, from Alexandria via LeMat-Bulk.

Unit cell a=7.873 b=13.639 c=7.857 alpha=90.00 beta=109.50 gamma=90.00
Space group C2/m (No. 12)
Inequivalent atoms, fractional coordinates:
Pm  0.000  0.167  0.000
Pr  0.000  0.500  0.000
Y  0.000  0.000  0.500
Y  0.000  0.334  0.500
Bi  0.246  0.168  0.742
Bi  0.250  0.000  0.257


[5]
The following is a PBE-GGA calculation of a relaxed structure of Pm8Bi2Pt, from Alexandria via LeMat-Bulk.

Unit cell a=19.486 b=4.798 c=7.596 alpha=90.00 beta=97.97 gamma=90.00
Space group C2/m (No. 12)
Inequivalent atoms, fractional coordinates:
Pm  0.004  0.000  0.276
Pm  0.094  0.500  0.010
Pm  0.146  0.500  0.538
Pm  0.214  0.000  0.852
Bi  0.183  0.000  0.275
Pt  0.000  0.500  0.500


[6]
The following is a PBE-GGA calculation of a relaxed structure of PmBiPt10, from Alexandria via LeMat-Bulk.

Unit cell a=4.478 b=5.407 c=9.296 alpha=90.00 beta=90.00 gamma=90.00
Space group Pmmm (No. 47)
Inequivalent atoms, fractional coordinates:
Pm  0.000  0.000  0.000
Bi  0.000  0.500  0.500
Pt  0.000  0.000  0.336
Pt  0.000  0.500  0.170
Pt  0.500  0.000  0.500
Pt  0.500  0.247  0.246
Pt  0.500  0.500  0.000


[7]
The following is a PBE-GGA calculation of a relaxed structure of Pm4BiPt, from Alexandria via LeMat-Bulk.

Unit cell a=9.055 b=14.228 c=6.019 alpha=90.00 beta=112.31 gamma=90.00
Space group C2/c (No. 15)
Inequivalent atoms, fractional coordinates:
Pm  0.111  0.184  0.069
Pm  0.219  0.424  0.345
Bi  0.000  0.380  0.750
Pt  0.000  0.001  0.250


[8]
The following is a PBE-GGA calculation of a relaxed structure of Pm12BiPt6, from Alexandria via LeMat-Bulk.

Unit cell a=10.335 b=10.335 c=10.335 alpha=90.00 beta=90.00 gamma=90.00
Space group Im-3 (No. 204)
Inequivalent atoms, fractional coordinates:
Pm  0.000  0.306  0.181
Bi  0.000  0.000  0.000
Pt  0.000  0.135  0.500


[9]
The following is a PBE-GGA calculation of a relaxed structure of PmBi2Pt9, from Alexandria via LeMat-Bulk.

Unit cell a=5.4480 b=5.4480 c=26.9153 alpha=90.00 beta=90.00 gamma=120.00
Space group R-3m (No. 166, hexagonal axes)
Inequivalent atoms, fractional coordinates:
Pm  0.0000  0.0000  0.0000
Bi  0.0000  0.0000  0.1328
Pt  0.0000  0.0000  0.3325
Pt  0.0000  0.0000  0.5000
Pt  0.0016  0.5008  0.9165


[10]
The following is a PBE-GGA calculation of a relaxed structure of PmBiPt4, from Alexandria via LeMat-Bulk.

Unit cell a=7.772 b=7.772 c=7.772 alpha=90.00 beta=90.00 gamma=90.00
Space group F-43m (No. 216)
Inequivalent atoms, fractional coordinates:
Pm  0.000  0.000  0.000
Bi  0.250  0.250  0.750
Pt  0.125  0.125  0.375


[11]
The following is a PBE-GGA calculation of a relaxed structure of Pm7Bi2Pt2, from Alexandria via LeMat-Bulk.

Unit cell a=8.843 b=11.352 c=7.115 alpha=90.00 beta=90.00 gamma=90.00
Space group Cmmm (No. 65)
Inequivalent atoms, fractional coordinates:
Pm  0.000  0.000  0.000
Pm  0.000  0.500  0.234
Pm  0.250  0.250  0.252
Bi  0.191  0.000  0.500
Pt  0.000  0.277  0.000


[12]
The following is a PBE-GGA calculation of a relaxed structure of Pm4Bi2Pt, from Alexandria via LeMat-Bulk.

Unit cell a=5.369 b=5.369 c=16.874 alpha=90.00 beta=90.00 gamma=90.00
Space group I4/mmm (No. 139)
Inequivalent atoms, fractional coordinates:
Pm  0.000  0.000  0.174
Pm  0.000  0.500  0.000
Bi  0.000  0.000  0.364
Pt  0.000  0.000  0.000


| no. | raw total energy (eV per atom) |
| --- | --- |
| 1 | -5.212 |
| 2 | -5.192 |
| 3 | -4.432 |
| 4 | -5.667 |
| 5 | -5.202 |
| 6 | -6.125 |
| 7 | -5.455 |
| 8 | -5.927 |
| 9 | -5.967 |
| 10 | -6.134 |
| 11 | -5.438 |
| 12 | -5.340 |